1.
This record from Alexandria describes crystalline BaLaMgPb at its relaxed geometry. The functional is PBE. Values from VASP.

The structure in Quantum ESPRESSO input format:
```
&SYSTEM
  ibrav = 0, nat = 4, ntyp = 4
/
ATOMIC_SPECIES
Ba 137.33 Ba.upf
La 138.91 La.upf
Mg 24.30 Mg.upf
Pb 207.20 Pb.upf
CELL_PARAMETERS angstrom
0.000 4.125 4.125
4.125 0.000 4.125
4.125 4.125 0.000
ATOMIC_POSITIONS angstrom
Ba 0.000 0.000 0.000
La 4.125 4.125 4.125
Mg 6.187 6.187 6.187
Pb 2.062 2.062 2.062
```

crystal system = cubic
theoretical density = 6007 kg/m3
total magnetic moment = 0.0 μB/cell
energy of formation = -1.129 eV per formula unit

=====

2.
This record from Alexandria describes crystalline HoEr2Cd2In2 at its relaxed geometry. The functional is PBE. Values from VASP.

The structure in Quantum ESPRESSO input format:
```
&SYSTEM
  ibrav = 0, nat = 7, ntyp = 4
/
ATOMIC_SPECIES
Ho 164.93 Ho.upf
Er 167.26 Er.upf
Cd 112.41 Cd.upf
In 114.82 In.upf
CELL_PARAMETERS angstrom
2.464 1.422 8.832
-2.464 1.422 8.832
0.000 -2.845 8.832
ATOMIC_POSITIONS angstrom
Ho 0.000 0.000 0.000
Er 0.000 0.000 3.395
Er 0.000 0.000 23.100
Cd 0.000 0.000 10.476
Cd 0.000 0.000 16.019
In 0.000 0.000 6.842
In 0.000 0.000 19.653
```

crystal system = trigonal
theoretical density = 8529 kg/m3
total magnetic moment = 0.0 μB/cell
energy of formation = -1.588 eV per formula unit

=====

3.
This record from Alexandria describes crystalline Li2Ta at its relaxed geometry. The functional is PBE. Values from VASP.

The structure in Quantum ESPRESSO input format:
```
&SYSTEM
  ibrav = 0, nat = 3, ntyp = 2
/
ATOMIC_SPECIES
Li 6.94 Li.upf
Ta 180.95 Ta.upf
CELL_PARAMETERS angstrom
-1.286 2.262 4.386
1.286 -2.262 4.386
1.286 2.262 -4.386
ATOMIC_POSITIONS angstrom
Li 0.000 0.000 1.475
Li 0.000 0.000 7.297
Ta 0.000 0.000 4.386
```

crystal system = orthorhombic
theoretical density = 6337 kg/m3
total magnetic moment = 0.0 μB/cell
energy of formation = 1.844 eV per formula unit

=====

4.
This record from Alexandria describes crystalline HfCu2W at its relaxed geometry. The functional is PBE. Values from VASP.

The structure in Quantum ESPRESSO input format:
```
&SYSTEM
  ibrav = 0, nat = 8, ntyp = 3
/
ATOMIC_SPECIES
Hf 178.49 Hf.upf
Cu 63.55 Cu.upf
W 183.84 W.upf
CELL_PARAMETERS angstrom
-1.900 1.900 9.466
1.900 -1.900 9.466
1.900 1.900 -9.466
ATOMIC_POSITIONS angstrom
Hf 0.000 0.000 0.000
Hf 0.000 1.900 4.733
Cu 0.950 -0.851 7.099
Cu 1.049 0.950 2.366
Cu 0.950 2.751 -2.366
Cu 0.851 0.950 11.832
W 1.900 0.000 4.733
W 0.000 0.000 9.466
```

crystal system = tetragonal
theoretical density = 11889 kg/m3
total magnetic moment = 0.0 μB/cell
energy of formation = 3.027 eV per formula unit

=====

5.
This record from Alexandria describes crystalline K2Os at its relaxed geometry. The functional is PBE. Values from VASP.

The structure in Quantum ESPRESSO input format:
```
&SYSTEM
  ibrav = 0, nat = 3, ntyp = 2
/
ATOMIC_SPECIES
K 39.10 K.upf
Os 190.23 Os.upf
CELL_PARAMETERS angstrom
-1.453 1.453 9.586
1.453 -1.453 9.586
1.453 1.453 -9.586
ATOMIC_POSITIONS angstrom
K 0.000 0.000 2.610
K 0.000 0.000 16.563
Os 0.000 0.000 9.586
```

crystal system = tetragonal
theoretical density = 5509 kg/m3
total magnetic moment = 0.3 μB/cell
energy of formation = 4.143 eV per formula unit

=====

6.
This record from Alexandria describes crystalline Mg2ScGa2Au2 at its relaxed geometry. The functional is PBE. Values from VASP.

The structure in Quantum ESPRESSO input format:
```
&SYSTEM
  ibrav = 0, nat = 7, ntyp = 4
/
ATOMIC_SPECIES
Mg 24.30 Mg.upf
Sc 44.96 Sc.upf
Ga 69.72 Ga.upf
Au 196.97 Au.upf
CELL_PARAMETERS angstrom
2.247 1.297 7.635
-2.247 1.297 7.635
0.000 -2.595 7.635
ATOMIC_POSITIONS angstrom
Mg 0.000 0.000 3.025
Mg 0.000 0.000 19.879
Sc 0.000 0.000 0.000
Ga 0.000 0.000 8.980
Ga 0.000 0.000 13.924
Au 0.000 0.000 5.866
Au 0.000 0.000 17.038
```

crystal system = trigonal
theoretical density = 7797 kg/m3
total magnetic moment = 0.0 μB/cell
energy of formation = -3.760 eV per formula unit

=====

7.
This record from Alexandria describes crystalline K2Os4Br at its relaxed geometry. The functional is PBE. Values from VASP.

The structure in Quantum ESPRESSO input format:
```
&SYSTEM
  ibrav = 0, nat = 7, ntyp = 3
/
ATOMIC_SPECIES
K 39.10 K.upf
Os 190.23 Os.upf
Br 79.90 Br.upf
CELL_PARAMETERS angstrom
-2.337 2.337 8.804
2.337 -2.337 8.804
2.337 2.337 -8.804
ATOMIC_POSITIONS angstrom
K 0.000 0.000 2.890
K 0.000 0.000 14.718
Os 2.337 0.000 0.000
Os 0.000 0.000 6.541
Os 0.000 2.337 0.000
Os 0.000 0.000 11.067
Br 0.000 0.000 8.804
```

crystal system = tetragonal
theoretical density = 7936 kg/m3
formation energy from raw total energies = 2.5556 eV/atom
total magnetic moment = 6.5 μB/cell

=====

8.
This record from Alexandria describes crystalline CaBiF at its relaxed geometry. The functional is PBE. Values from VASP.

The structure in Quantum ESPRESSO input format:
```
&SYSTEM
  ibrav = 0, nat = 3, ntyp = 3
/
ATOMIC_SPECIES
Ca 40.08 Ca.upf
Bi 208.98 Bi.upf
F 19.00 F.upf
CELL_PARAMETERS angstrom
-1.663 1.663 6.260
1.663 -1.663 6.260
1.663 1.663 -6.260
ATOMIC_POSITIONS angstrom
Ca 0.000 0.000 0.000
Bi 0.000 0.000 3.470
F 0.000 0.000 6.734
```

crystal system = tetragonal
theoretical density = 6425 kg/m3
formation energy from raw total energies = -1.9789 eV/atom
total magnetic moment = 0.0 μB/cell

=====

9.
This record from Alexandria describes crystalline Tb3Tm3Rh2 at its relaxed geometry. The functional is PBE. Values from VASP.

The structure in Quantum ESPRESSO input format:
```
&SYSTEM
  ibrav = 0, nat = 16, ntyp = 3
/
ATOMIC_SPECIES
Tb 158.93 Tb.upf
Tm 168.93 Tm.upf
Rh 102.91 Rh.upf
CELL_PARAMETERS angstrom
1.898 -6.489 0.000
1.898 6.489 0.000
0.000 0.000 17.753
ATOMIC_POSITIONS angstrom
Tb 1.898 5.739 10.495
Tb 1.898 5.739 16.134
Tb 1.898 2.813 13.315
Tb 1.898 -2.813 4.438
Tb 1.898 -5.739 1.619
Tb 1.898 -5.739 7.257
Tm 1.898 2.210 9.886
Tm 1.898 2.210 16.743
Tm 1.898 0.739 4.438
Tm 1.898 -0.739 13.315
Tm 1.898 -2.210 1.009
Tm 1.898 -2.210 7.867
Rh 1.898 2.689 2.356
Rh 1.898 2.689 6.520
Rh 1.898 -2.689 11.233
Rh 1.898 -2.689 15.396
```

crystal system = orthorhombic
theoretical density = 9032 kg/m3
total magnetic moment = 0.0 μB/cell
energy of formation = -3.399 eV per formula unit

=====

10.
This record from Alexandria describes crystalline Hf2SeI at its relaxed geometry. The functional is PBE. Values from VASP.

The structure in Quantum ESPRESSO input format:
```
&SYSTEM
  ibrav = 0, nat = 4, ntyp = 3
/
ATOMIC_SPECIES
Hf 178.49 Hf.upf
Se 78.96 Se.upf
I 126.90 I.upf
CELL_PARAMETERS angstrom
0.000 3.450 3.450
3.450 0.000 3.450
3.450 3.450 0.000
ATOMIC_POSITIONS angstrom
Hf 1.725 1.725 1.725
Hf 5.175 5.175 5.175
Se 0.000 0.000 0.000
I 3.450 3.450 3.450
```

crystal system = cubic
theoretical density = 11380 kg/m3
formation energy from raw total energies = -0.2437 eV/atom
total magnetic moment = 0.0 μB/cell

=====

11.
This record from Alexandria describes crystalline SmTh3Si4 at its relaxed geometry. The functional is PBE. Values from VASP.

The structure in Quantum ESPRESSO input format:
```
&SYSTEM
  ibrav = 0, nat = 8, ntyp = 3
/
ATOMIC_SPECIES
Sm 150.36 Sm.upf
Th 232.04 Th.upf
Si 28.09 Si.upf
CELL_PARAMETERS angstrom
-2.072 3.185 7.983
2.072 -3.185 7.983
2.072 3.185 -7.983
ATOMIC_POSITIONS angstrom
Sm 0.000 0.000 0.000
Th 2.072 0.000 3.114
Th 0.000 0.000 7.983
Th 0.000 3.185 4.869
Si 2.072 -1.197 5.886
Si 0.000 1.988 2.097
Si 2.072 1.197 5.886
Si 0.000 4.382 2.097
```

crystal system = orthorhombic
theoretical density = 7556 kg/m3
formation energy from raw total energies = -0.5437 eV/atom
total magnetic moment = 0.0 μB/cell

=====

12.
This record from Alexandria describes crystalline Th2Si4Pd3Rh at its relaxed geometry. The functional is PBE. Values from VASP.

The structure in Quantum ESPRESSO input format:
```
&SYSTEM
  ibrav = 0, nat = 10, ntyp = 4
/
ATOMIC_SPECIES
Th 232.04 Th.upf
Si 28.09 Si.upf
Pd 106.42 Pd.upf
Rh 102.91 Rh.upf
CELL_PARAMETERS angstrom
4.239 0.000 0.000
0.000 4.239 0.000
0.000 0.000 9.956
ATOMIC_POSITIONS angstrom
Th 0.000 2.119 2.483
Th 2.119 0.000 7.473
Si 0.000 0.000 4.978
Si 0.000 2.119 8.648
Si 2.119 0.000 1.309
Si 2.119 2.119 4.978
Pd 0.000 0.000 0.000
Pd 0.000 2.119 6.191
Pd 2.119 0.000 3.765
Rh 2.119 2.119 0.000
```

crystal system = tetragonal
theoretical density = 9270 kg/m3
formation energy from raw total energies = -0.9386 eV/atom
total magnetic moment = 0.0 μB/cell

=====

13.
This record from Alexandria describes crystalline Ac3CuGe3 at its relaxed geometry. The functional is PBE. Values from VASP.

The structure in Quantum ESPRESSO input format:
```
&SYSTEM
  ibrav = 0, nat = 14, ntyp = 3
/
ATOMIC_SPECIES
Ac 227.00 Ac.upf
Cu 63.55 Cu.upf
Ge 72.64 Ge.upf
CELL_PARAMETERS angstrom
9.158 0.000 0.000
-4.579 7.931 0.000
0.000 0.000 6.383
ATOMIC_POSITIONS angstrom
Ac -2.611 5.645 1.596
Ac 0.996 2.848 1.596
Ac 2.965 0.561 4.787
Ac 1.615 7.370 1.596
Ac 3.583 5.083 4.787
Ac 7.190 2.287 4.787
Cu 0.000 5.288 4.787
Cu 4.579 2.644 1.596
Ge -2.408 5.420 4.787
Ge 1.089 3.136 4.787
Ge 3.261 0.625 1.596
Ge 1.319 7.306 4.787
Ge 3.490 4.795 1.596
Ge 6.987 2.511 1.596
```

crystal system = hexagonal
theoretical density = 6894 kg/m3
total magnetic moment = 0.0 μB/cell
energy of formation = -2.757 eV per formula unit

=====

14.
This record from Alexandria describes crystalline Sr2Ga2Ag at its relaxed geometry. The functional is PBE. Values from VASP.

The structure in Quantum ESPRESSO input format:
```
&SYSTEM
  ibrav = 0, nat = 5, ntyp = 3
/
ATOMIC_SPECIES
Sr 87.62 Sr.upf
Ga 69.72 Ga.upf
Ag 107.87 Ag.upf
CELL_PARAMETERS angstrom
-1.962 1.962 9.535
1.962 -1.962 9.535
1.962 1.962 -9.535
ATOMIC_POSITIONS angstrom
Sr 0.000 0.000 1.972
Sr 0.000 0.000 17.097
Ga 1.962 0.000 4.767
Ga 0.000 1.962 4.767
Ag 0.000 0.000 9.535
```

crystal system = tetragonal
theoretical density = 4780 kg/m3
total magnetic moment = 0.0 μB/cell
energy of formation = -0.896 eV per formula unit

=====

15.
This record from Alexandria describes crystalline BaTb2SnN4 at its relaxed geometry. The functional is PBE. Values from VASP.

The structure in Quantum ESPRESSO input format:
```
&SYSTEM
  ibrav = 0, nat = 16, ntyp = 4
/
ATOMIC_SPECIES
Ba 137.33 Ba.upf
Tb 158.93 Tb.upf
Sn 118.71 Sn.upf
N 14.01 N.upf
CELL_PARAMETERS angstrom
1.779 -6.235 0.000
1.779 6.235 0.000
0.000 0.000 12.393
ATOMIC_POSITIONS angstrom
Ba 1.779 5.008 9.295
Ba 1.779 -5.008 3.098
Tb 1.779 1.620 6.612
Tb 1.779 1.620 11.978
Tb 1.779 -1.620 0.415
Tb 1.779 -1.620 5.781
Sn 1.779 4.134 3.098
Sn 1.779 -4.134 9.295
N 0.000 0.000 0.000
N 0.000 0.000 6.197
N 1.779 3.031 1.371
N 1.779 3.031 4.825
N 1.779 0.919 9.295
N 1.779 -0.919 3.098
N 1.779 -3.031 7.568
N 1.779 -3.031 11.022
```

crystal system = orthorhombic
theoretical density = 7609 kg/m3
formation energy from raw total energies = -0.8668 eV/atom
total magnetic moment = 0.0 μB/cell

=====

16.
This record from Alexandria describes crystalline CaAc2La3N6 at its relaxed geometry. The functional is PBE. Values from VASP.

The structure in Quantum ESPRESSO input format:
```
&SYSTEM
  ibrav = 0, nat = 12, ntyp = 4
/
ATOMIC_SPECIES
Ca 40.08 Ca.upf
Ac 227.00 Ac.upf
La 138.91 La.upf
N 14.01 N.upf
CELL_PARAMETERS angstrom
8.071 -1.904 0.000
8.071 1.904 0.000
-1.796 0.000 7.386
ATOMIC_POSITIONS angstrom
Ca 0.000 0.000 0.000
Ac 4.222 0.000 4.982
Ac 10.125 0.000 2.405
La -0.898 0.000 3.693
La 5.176 0.000 1.184
La 9.171 0.000 6.202
N 1.606 0.000 4.308
N 2.595 0.000 0.559
N 7.578 0.000 1.908
N 6.769 0.000 5.478
N 11.752 0.000 6.828
N 12.741 0.000 3.078
```

crystal system = monoclinic
theoretical density = 7277 kg/m3
formation energy from raw total energies = -1.0938 eV/atom
total magnetic moment = 0.0 μB/cell

=====

17.
This record from Alexandria describes crystalline GdTmFeIr at its relaxed geometry. The functional is PBE. Values from VASP.

The structure in Quantum ESPRESSO input format:
```
&SYSTEM
  ibrav = 0, nat = 4, ntyp = 4
/
ATOMIC_SPECIES
Gd 157.25 Gd.upf
Tm 168.93 Tm.upf
Fe 55.84 Fe.upf
Ir 192.22 Ir.upf
CELL_PARAMETERS angstrom
0.000 3.404 3.404
3.404 0.000 3.404
3.404 3.404 0.000
ATOMIC_POSITIONS angstrom
Gd 0.000 0.000 0.000
Tm 3.404 3.404 3.404
Fe 5.106 5.106 5.106
Ir 1.702 1.702 1.702
```

crystal system = cubic
theoretical density = 12089 kg/m3
total magnetic moment = 5.5 μB/cell
energy of formation = -1.380 eV per formula unit

=====

18.
This record from Alexandria describes crystalline Ba2CaZn at its relaxed geometry. The functional is PBE. Values from VASP.

The structure in Quantum ESPRESSO input format:
```
&SYSTEM
  ibrav = 0, nat = 4, ntyp = 3
/
ATOMIC_SPECIES
Ba 137.33 Ba.upf
Ca 40.08 Ca.upf
Zn 65.41 Zn.upf
CELL_PARAMETERS angstrom
-2.074 3.117 6.665
2.074 -3.117 6.665
2.074 3.117 -6.665
ATOMIC_POSITIONS angstrom
Ba 0.000 0.000 0.000
Ba 0.000 3.117 2.544
Ca 2.074 0.000 4.130
Zn 0.000 0.000 6.505
```

crystal system = orthorhombic
theoretical density = 3663 kg/m3
total magnetic moment = 0.0 μB/cell
energy of formation = -0.227 eV per formula unit

=====

19.
This record from Alexandria describes crystalline Ac3NdEr2 at its relaxed geometry. The functional is PBE. Values from VASP.

The structure in Quantum ESPRESSO input format:
```
&SYSTEM
  ibrav = 0, nat = 12, ntyp = 3
/
ATOMIC_SPECIES
Ac 227.00 Ac.upf
Nd 144.24 Nd.upf
Er 167.26 Er.upf
CELL_PARAMETERS angstrom
5.553 -3.725 0.000
5.553 3.725 0.000
-5.543 0.000 11.223
ATOMIC_POSITIONS angstrom
Ac 1.395 2.776 8.417
Ac -1.386 0.922 10.276
Ac 1.385 -0.922 4.664
Ac 4.176 0.922 6.559
Ac 6.948 -0.922 0.948
Ac 4.167 -2.776 2.806
Nd 4.167 0.948 2.806
Nd 1.395 -0.948 8.417
Er -1.392 0.922 6.531
Er 1.380 -0.922 0.919
Er 4.182 0.922 10.304
Er 6.953 -0.922 4.692
```

crystal system = monoclinic
theoretical density = 8295 kg/m3
total magnetic moment = 0.0 μB/cell
energy of formation = -0.143 eV per formula unit